This record from Alexandria describes crystalline TbPm14In at its relaxed geometry. The functional is PBE-GGA.

a = 10.237 Å, b = 7.207 Å, c = 7.207 Å
α = 90.00°, β = 90.00°, γ = 90.00°
Atoms (fractional coordinates):
Tb  0.000  0.000  0.000
Pm  0.000  0.500  0.999
Pm  0.000  0.999  0.500
Pm  0.245  0.252  0.252
Pm  0.245  0.252  0.748
Pm  0.245  0.748  0.252
Pm  0.245  0.748  0.748
Pm  0.500  0.000  0.000
Pm  0.500  0.000  0.500
Pm  0.500  0.500  0.000
Pm  0.500  0.500  0.500
Pm  0.755  0.252  0.252
Pm  0.755  0.252  0.748
Pm  0.755  0.748  0.252
Pm  0.755  0.748  0.748
In  0.000  0.500  0.500

## Properties
The value obtained for the formation energy is -0.0379 eV/atom. Its magnetic moment is 0.0 μB/f.u. The crystal system is orthorhombic.

=====

This record from Alexandria describes crystalline LaAs2BrF at its relaxed geometry. The functional is PBE-GGA.

a = 4.425 Å, b = 4.425 Å, c = 5.618 Å
α = 90.00°, β = 90.00°, γ = 90.00°
Atoms (fractional coordinates):
La  0.000  0.000  0.000
As  0.000  0.500  0.500
As  0.500  0.000  0.500
Br  0.500  0.500  0.000
F  0.500  0.500  0.500

## Properties
As for the formation energy without anion corrections: -0.914 eV/atom. The energy above the most stable polymorph in this dataset comes out at 0 meV per atom. Its magnetic moment is 0.0 μB/f.u. The crystal system is tetragonal.

=====

This record from Alexandria describes crystalline Sc2Mn2Hg at its relaxed geometry. The functional is PBE-GGA.

a = 6.682 Å, b = 6.682 Å, c = 3.974 Å
α = 90.00°, β = 90.00°, γ = 90.00°
Atoms (fractional coordinates):
Sc  0.179  0.321  0.000
Sc  0.321  0.821  0.000
Sc  0.679  0.179  0.000
Sc  0.821  0.679  0.000
Mn  0.107  0.607  0.500
Mn  0.393  0.107  0.500
Mn  0.607  0.893  0.500
Mn  0.893  0.393  0.500
Hg  0.000  0.000  0.500
Hg  0.500  0.500  0.500

## Properties
The value obtained for the formation energy is -0.0128 eV/atom. Its magnetic moment is 1.8 μB/f.u. The crystal system is tetragonal.

=====

This record from Alexandria describes crystalline CaMg4Mn at its relaxed geometry. The functional is PBE-GGA.

a = 5.889 Å, b = 5.889 Å, c = 5.889 Å
α = 60.00°, β = 60.00°, γ = 60.00°
Atoms (fractional coordinates):
Ca  0.000  0.000  0.000
Mg  0.128  0.624  0.624
Mg  0.624  0.128  0.624
Mg  0.624  0.624  0.128
Mg  0.624  0.624  0.624
Mn  0.250  0.250  0.250

## Properties
The value obtained for the formation energy is 0.1934 eV/atom. Its magnetic moment is 3.5 μB/f.u. The crystal system is cubic.

=====

This record from Alexandria describes crystalline ZrCdAu4 at its relaxed geometry. The functional is PBE-GGA.

a = 5.127 Å, b = 5.127 Å, c = 5.073 Å
α = 90.09°, β = 90.09°, γ = 121.08°
Atoms (fractional coordinates):
Zr  0.000  0.000  0.000
Cd  0.500  0.500  0.500
Au  0.164  0.836  0.500
Au  0.333  0.667  0.000
Au  0.667  0.333  0.000
Au  0.836  0.164  0.500

## Properties
The value obtained for the formation energy is -0.3854 eV/atom. The energy above the most stable polymorph in this dataset comes out at 0 meV per atom. Its magnetic moment is 0.0 μB/f.u. The crystal system is monoclinic.

=====

This record from Alexandria describes crystalline NdBi2Pd6 at its relaxed geometry. The functional is PBE-GGA.

a = 5.638 Å, b = 5.638 Å, c = 7.380 Å
α = 90.00°, β = 90.00°, γ = 120.00°
Atoms (fractional coordinates):
Nd  0.000  0.000  0.000
Bi  0.333  0.667  0.500
Bi  0.667  0.333  0.500
Pd  0.000  0.500  0.184
Pd  0.000  0.500  0.816
Pd  0.500  0.000  0.184
Pd  0.500  0.000  0.816
Pd  0.500  0.500  0.184
Pd  0.500  0.500  0.816

## Properties
The value obtained for the formation energy is -0.3363 eV/atom. Its magnetic moment is 0.0 μB/f.u. The crystal system is hexagonal.

=====

This record from Alexandria describes crystalline Pm3Ga2Rh7 at its relaxed geometry. The functional is PBE-GGA.

a = 8.825 Å, b = 8.825 Å, c = 8.825 Å
α = 36.37°, β = 36.37°, γ = 36.37°
Atoms (fractional coordinates):
Pm  0.000  0.000  0.000
Pm  0.141  0.141  0.141
Pm  0.859  0.859  0.859
Ga  0.334  0.334  0.334
Ga  0.666  0.666  0.666
Rh  0.078  0.582  0.582
Rh  0.418  0.418  0.922
Rh  0.418  0.922  0.418
Rh  0.500  0.500  0.500
Rh  0.582  0.078  0.582
Rh  0.582  0.582  0.078
Rh  0.922  0.418  0.418

## Properties
The value obtained for the formation energy is -0.7253 eV/atom. Its magnetic moment is 0.0 μB/f.u. The crystal system is trigonal.

=====

This record from Alexandria describes crystalline Th2Ga3Ir4Ru at its relaxed geometry. The functional is PBE-GGA.

a = 4.218 Å, b = 4.218 Å, c = 10.535 Å
α = 90.00°, β = 90.00°, γ = 90.00°
Atoms (fractional coordinates):
Th  0.000  0.500  0.241
Th  0.500  0.000  0.759
Ga  0.000  0.500  0.873
Ga  0.500  0.000  0.127
Ga  0.500  0.500  0.500
Ir  0.000  0.000  0.000
Ir  0.000  0.500  0.639
Ir  0.500  0.000  0.361
Ir  0.500  0.500  0.000
Ru  0.000  0.000  0.500

## Properties
The value obtained for the formation energy is -0.6300 eV/atom. Its magnetic moment is 0.0 μB/f.u. The crystal system is tetragonal.

=====

This record from Alexandria describes crystalline Li3AsPd at its relaxed geometry. The functional is PBE-GGA.

a = 6.259 Å, b = 6.259 Å, c = 6.259 Å
α = 88.45°, β = 116.48°, γ = 125.53°
Atoms (fractional coordinates):
Li  0.188  0.002  0.686
Li  0.249  0.026  0.275
Li  0.249  0.474  0.723
Li  0.315  0.502  0.314
Li  0.751  0.526  0.277
Li  0.751  0.974  0.725
As  0.691  0.500  0.691
As  0.809  0.000  0.309
Pd  0.250  0.751  0.000
Pd  0.751  0.251  0.000

## Properties
The value obtained for the formation energy is -0.4917 eV/atom. The energy above the most stable polymorph in this dataset comes out at 66 meV per atom. Its magnetic moment is 0.0 μB/f.u. The crystal system is orthorhombic.

=====

This record from Alexandria describes crystalline ZrCoSi2Ni at its relaxed geometry. The functional is PBE-GGA.

a = 5.549 Å, b = 5.549 Å, c = 5.549 Å
α = 140.43°, β = 140.43°, γ = 57.20°
Atoms (fractional coordinates):
Zr  0.000  0.000  0.000
Co  0.750  0.250  0.500
Si  0.380  0.380  0.000
Si  0.620  0.620  0.000
Ni  0.250  0.750  0.500

## Properties
As for the formation energy without anion corrections: -0.795 eV/atom. Its magnetic moment is 0.7 μB/f.u. The crystal system is tetragonal.

=====

This record from Alexandria describes crystalline AcPrRu at its relaxed geometry. The functional is PBE-GGA.

a = 7.511 Å, b = 7.511 Å, c = 7.511 Å
α = 152.06°, β = 152.06°, γ = 39.93°
Atoms (fractional coordinates):
Ac  0.000  0.000  0.000
Pr  0.247  0.247  0.000
Ru  0.630  0.630  0.000

## Properties
The value obtained for the formation energy is -0.0545 eV/atom. The energy above the most stable polymorph in this dataset comes out at 76 meV per atom. Its magnetic moment is 0.0 μB/f.u. The crystal system is tetragonal.

=====

This record from Alexandria describes crystalline DyAlIn2Se6 at its relaxed geometry. The functional is PBE-GGA.

a = 9.782 Å, b = 9.782 Å, c = 7.019 Å
α = 104.32°, β = 104.32°, γ = 89.85°
Atoms (fractional coordinates):
Dy  0.087  0.913  0.750
Dy  0.913  0.087  0.250
Al  0.159  0.841  0.250
Al  0.841  0.159  0.750
In  0.321  0.513  0.884
In  0.487  0.679  0.616
In  0.513  0.321  0.384
In  0.679  0.487  0.116
Se  0.063  0.187  0.669
Se  0.106  0.658  0.929
Se  0.187  0.063  0.169
Se  0.296  0.451  0.482
Se  0.342  0.894  0.571
Se  0.451  0.296  0.982
Se  0.549  0.704  0.018
Se  0.658  0.106  0.429
Se  0.704  0.549  0.518
Se  0.813  0.937  0.831
Se  0.894  0.342  0.071
Se  0.937  0.813  0.331

## Properties
As for the formation energy without anion corrections: -0.893 eV/atom. Its magnetic moment is 0.0 μB/f.u. The crystal system is monoclinic.